A relaxed structure of SrCuAu2, computed with PBE.

It has space group Fm-3m (No. 225), with a = 7.069 Å, b = 7.069 Å, c = 7.069 Å, α = 90.00°, β = 90.00° and γ = 90.00°. The inequivalent atoms are Sr at (0.000, 0.000, 0.000), Cu at (0.000, 0.000, 0.500) and Au at (0.250, 0.250, 0.250).

The calculation puts the calculated volume at 22.1 A^3/atom. The calculation puts the energy above the lowest structure with this stoichiometry at 205 meV per atom. As for the formation energy: -1.0 eV per formula unit. The calculation puts the magnetic moment at 0.00 μB/f.u. The density of states at the Fermi level is 0.253 states/eV/atom.

***

A relaxed structure of Sr3Cu2Au4, computed with PBE.

It has space group C2/m (No. 12), with a = 11.446 Å, b = 4.599 Å, c = 9.024 Å, α = 90.00°, β = 108.07° and γ = 90.00°. The inequivalent atoms are Sr at (0.000, 0.000, 0.000), Sr at (0.165, 0.500, 0.667), Cu at (0.112, 0.500, 0.284), Au at (0.062, 0.000, 0.384) and Au at (0.215, 0.500, 0.067).

The calculation puts the calculated volume at 25.1 A^3/atom. As for the formation energy: -5.1 eV per formula unit. The calculation puts the magnetic moment at 0.00 μB/f.u. The density of states at the Fermi level is 0.329 states/eV/atom.

***

A relaxed structure of Sr3Cu3Au2, computed with PBE.

It has space group Cmcm (No. 63), with a = 4.487 Å, b = 11.307 Å, c = 16.181 Å, α = 90.00°, β = 90.00° and γ = 90.00°. The inequivalent atoms are Sr at (0.000, 0.087, 0.250), Sr at (0.000, 0.370, 0.089), Cu at (0.000, 0.079, 0.051), Cu at (0.000, 0.205, 0.750) and Au at (0.000, 0.338, 0.615).

The calculation puts the calculated volume at 25.7 A^3/atom. As for the formation energy: -3.0 eV per formula unit. The calculation puts the magnetic moment at 0.00 μB/f.u. The density of states at the Fermi level is 0.337 states/eV/atom.